The following is a PBE calculation of CaBe2Pt after structural relaxation, from Alexandria.

a = 4.329 Å, b = 4.329 Å, c = 4.329 Å
α = 60.00°, β = 60.00°, γ = 60.00°
Element x y z (fractional)
Ca 0.000 0.000 0.000
Be 0.250 0.250 0.250
Be 0.750 0.750 0.750
Pt 0.500 0.500 0.500

- Formation enthalpy at 0 K: -0.165 eV/atom
- Space group: Fm-3m, No. 225
- Uncorrected energy: -4.04 eV/atom
- Crystal system: cubic